Record 1
DFT (PBE) results for SiMo2Pt after structural relaxation.

DOS at the Fermi energy ... 3.4 states/eV/f.u.
Space-group type ... Pmm2 (25)

Cell lengths 2.737, 4.003, 5.532 Å; angles 90.00, 90.00, 90.00 degrees
Positions (direct):
1 Mo 0.000 0.000 0.984
2 Mo 0.500 0.500 0.266
3 Pt 0.000 0.000 0.494
4 Si 0.500 0.500 0.756

Record 2
DFT (PBE) results for SiMoPt4 after structural relaxation.

DOS at the Fermi energy ... 4.9 states/eV/f.u.
Space-group type ... F-43m (216)

Cell lengths 5.235, 5.235, 5.235 Å; angles 60.00, 60.00, 60.00 degrees
Last column: magnetic moment on the atom in μB.
Positions (direct):
1 Pt 0.375 0.375 0.876  0.05
2 Pt 0.375 0.375 0.375  0.05
3 Pt 0.876 0.375 0.375  0.05
4 Pt 0.375 0.876 0.375  0.05
5 Si 0.750 0.750 0.750  0.02
6 Mo 0.000 0.000 0.000  1.89

Record 3
DFT (PBE) results for SiMo2Pt after structural relaxation.

DOS at the Fermi energy ... 2.0 states/eV/f.u.
Space-group type ... Immm (71)

Cell lengths 4.991, 4.991, 4.991 Å; angles 139.31, 131.87, 64.81 degrees
Positions (direct):
1 Mo 0.490 0.490 0.000
2 Mo 0.010 0.010 0.000
3 Pt 0.750 0.250 0.500
4 Si 0.250 0.750 0.500

Let's list ΔE_f (raw) in order: -0.073 0.343 -0.240 eV per atom.